# 1
A geometry-optimized CaLa3C structure. Source: Alexandria, functional GGA-PBE.

Values from the calculation:
Symmetry: No. 14
E above lowest polymorph: 0.0 meV/atom

The structure in POSCAR format:
```
CaLa3C
1.0
6.683 0.000 0.000
0.000 9.855 -1.766
0.000 0.024 9.880
La Ca C
12 4 4
Direct
0.389 0.718 0.071
0.920 0.831 0.948
0.567 0.067 0.183
0.611 0.282 0.929
0.420 0.169 0.552
0.433 0.933 0.817
0.111 0.718 0.571
0.933 0.067 0.683
0.067 0.933 0.317
0.889 0.282 0.429
0.580 0.831 0.448
0.080 0.169 0.052
0.394 0.441 0.310
0.606 0.559 0.690
0.106 0.441 0.810
0.894 0.559 0.190
0.250 0.938 0.058
0.250 0.938 0.558
0.750 0.062 0.942
0.750 0.062 0.442
```



# 2
A geometry-optimized Tl2SnBS4 structure. Source: Alexandria, functional GGA-PBE.

Values from the calculation:
Symmetry: No. 31
E_form (uncorrected): -0.31 eV/atom

The structure in POSCAR format:
```
Tl2SnBS4
1.0
-5.908 -1.133 -0.719
1.155 -8.404 3.751
-1.439 2.984 7.128
S Tl Sn B
8 4 2 2
Direct
0.913 0.930 0.000
0.336 0.131 0.000
0.922 0.246 0.190
0.836 0.869 0.500
0.922 0.246 0.810
0.413 0.070 0.500
0.422 0.754 0.690
0.422 0.754 0.310
0.451 0.334 0.267
0.951 0.666 0.767
0.951 0.666 0.233
0.451 0.334 0.733
0.992 0.121 0.500
0.492 0.879 0.000
0.514 0.871 0.500
0.014 0.129 0.000
```



# 3
A geometry-optimized AlAgCl2 structure. Source: Alexandria, functional GGA-PBE.

Values from the calculation:
Symmetry: No. 47
E above lowest polymorph: 492.7 meV/atom
E_form (uncorrected): -0.25 eV/atom

The structure in POSCAR format:
```
AlAgCl2
1.0
-0.094 -2.098 -3.431
-3.774 -4.257 2.706
-3.070 1.999 -1.138
Al Ag Cl
1 1 2
Direct
0.000 0.500 0.500
0.500 0.000 0.500
0.500 0.500 0.000
0.000 0.000 0.000
```



# 4
A geometry-optimized SiAg2Ru structure. Source: Alexandria, functional GGA-PBE.

Values from the calculation:
Symmetry: No. 160
E_form (uncorrected): 0.07 eV/atom

The structure in POSCAR format:
```
SiAg2Ru
1.0
-6.228 4.940 4.089
-7.571 2.366 4.121
-5.669 3.036 6.209
Ag Si Ru
2 1 1
Direct
0.247 0.247 0.247
0.007 0.007 0.007
0.758 0.758 0.758
0.489 0.489 0.489
```



# 5
A geometry-optimized ZrTe2Pt structure. Source: Alexandria, functional GGA-PBE.

Values from the calculation:
Symmetry: No. 99
E above lowest polymorph: 185.3 meV/atom
E_form (uncorrected): -0.48 eV/atom

The structure in POSCAR format:
```
ZrTe2Pt
1.0
3.375 0.007 0.000
-0.007 3.375 0.000
0.000 0.000 9.450
Pt Zr Te
1 1 2
Direct
0.500 0.500 0.706
0.000 0.000 0.559
0.500 0.500 0.326
0.000 0.000 0.910
```



# 6
A geometry-optimized Pm5Nd2Th structure. Source: Alexandria, functional GGA-PBE.

Values from the calculation:
Symmetry: No. 123
E above lowest polymorph: 652.6 meV/atom

The structure in POSCAR format:
```
Pm5Nd2Th
1.0
5.682 0.000 0.000
0.000 7.486 0.000
0.000 0.000 7.486
Nd Pm Th
2 5 1
Direct
0.500 0.000 0.500
0.500 0.500 0.000
0.500 0.000 0.000
0.000 0.716 0.716
0.000 0.716 0.284
0.000 0.284 0.284
0.000 0.284 0.716
0.000 0.000 0.000
```



# 7
A geometry-optimized TbPd6Pt4 structure. Source: Alexandria, functional GGA-PBE.

Values from the calculation:
Symmetry: No. 38
Raw total energy: -62.56 eV/cell

The structure in POSCAR format:
```
TbPd6Pt4
1.0
4.581 0.000 0.000
0.000 4.812 -2.776
0.000 1.293 7.800
Pd Pt Tb
6 4 1
Direct
0.000 0.049 0.591
0.000 0.460 0.920
0.500 0.836 0.174
0.000 0.543 0.591
0.500 0.338 0.174
0.500 0.745 0.491
0.500 0.244 0.489
0.000 0.638 0.277
0.500 0.157 0.811
0.500 0.654 0.811
0.000 0.003 0.006
```



# 8
A geometry-optimized NpAl2Pd structure. Source: Alexandria, functional GGA-PBE.

Values from the calculation:
Symmetry: No. 166
Raw total energy: -26.95 eV/cell

The structure in POSCAR format:
```
NpAl2Pd
1.0
-2.099 -1.693 -0.967
-1.353 -1.772 1.798
-7.518 5.648 2.190
Al Np Pd
2 1 1
Direct
0.261 0.261 0.218
0.739 0.739 0.782
0.500 0.500 0.500
0.000 0.000 0.000
```



# 9
A geometry-optimized Tb8Bi2Au structure. Source: Alexandria, functional GGA-PBE.

Values from the calculation:
Symmetry: No. 12
Raw total energy: -52.55 eV/cell

The structure in POSCAR format:
```
Tb8Bi2Au
1.0
5.166 0.000 0.000
0.000 6.837 1.282
-2.583 -1.195 9.042
Au Tb Bi
1 8 2
Direct
0.500 0.000 0.000
0.590 0.570 0.181
0.655 0.090 0.311
0.213 0.373 0.425
0.028 0.246 0.056
0.972 0.754 0.944
0.410 0.430 0.819
0.345 0.910 0.689
0.787 0.627 0.575
0.167 0.828 0.334
0.833 0.172 0.666
```



# 10
A geometry-optimized Ac2In3Cu2 structure. Source: Alexandria, functional GGA-PBE.

Values from the calculation:
Symmetry: No. 65
E above lowest polymorph: 28.9 meV/atom

The structure in POSCAR format:
```
Ac2In3Cu2
1.0
-0.695 -3.390 2.050
3.584 -1.838 -1.825
4.191 4.573 8.982
In Ac Cu
3 2 2
Direct
0.500 0.429 0.858
0.000 0.000 0.000
0.500 0.571 0.142
0.000 0.166 0.332
0.000 0.834 0.668
0.500 0.281 0.562
0.500 0.719 0.438
```



# 11
A geometry-optimized BeCd2 structure. Source: Alexandria, functional GGA-PBE.

Values from the calculation:
Symmetry: No. 194
E above lowest polymorph: 510.2 meV/atom

The structure in POSCAR format:
```
BeCd2
1.0
-3.359 -1.515 4.198
5.423 0.931 0.959
-1.829 8.862 1.735
Cd Be
8 4
Direct
0.830 0.659 0.250
0.000 0.000 0.000
0.341 0.170 0.250
0.000 0.000 0.500
0.830 0.170 0.250
0.170 0.830 0.750
0.659 0.830 0.750
0.170 0.341 0.750
0.667 0.333 0.998
0.333 0.667 0.498
0.333 0.667 0.002
0.667 0.333 0.502
```



# 12
A geometry-optimized BaNa3S structure. Source: Alexandria, functional GGA-PBE.

Values from the calculation:
Symmetry: No. 221
E above lowest polymorph: 1196.9 meV/atom
E_form (uncorrected): 0.85 eV/atom

The structure in POSCAR format:
```
BaNa3S
1.0
6.651 0.000 0.000
0.000 6.651 0.000
0.000 0.000 6.651
Na S Ba
3 1 1
Direct
0.500 0.000 0.000
0.000 0.500 0.000
0.000 0.000 0.500
0.500 0.500 0.500
0.000 0.000 0.000
```